14
Lattice="6.768 0.000 -2.300 -3.390 5.808 -2.424 0.011 0.000 7.148" Properties=species:S:1:pos:R:3 comment="LiNp5S8 (PBE-GGA, relaxed)" e_form_raw_ev_per_atom=-1.419 m_tot_mub_per_fu=20.0 vol_a3_per_atom=20.08 final_energy_ev_per_atom=-8.536 pbc="T T T"
S 1.031 1.456 1.498
S 2.987 2.314 3.871
S 1.152 5.189 2.614
Np 2.921 5.101 -2.372
Np -1.222 2.179 -0.004
Np 2.090 0.707 5.955
Np 3.390 0.000 2.424
S -1.764 4.396 1.583
S 1.239 3.494 -0.849
S -1.639 4.352 -1.933
Np 2.991 3.628 1.269
S 6.236 0.619 2.669
S 4.318 1.412 0.243
Li 0.006 2.904 3.574